# AcSm3Dy4

A geometry-optimized AcSm3Dy4 structure (PBE, the Alexandria database).

a = 3.4945 Å, b = 9.0408 Å, c = 9.0408 Å
α = 81.46°, β = 78.86°, γ = 78.86°
Last column: nearest neighbours and their distance in Å.
Positions (direct):
Ac1 0.5000 0.0000 0.0000  2 Ac 3.49, 4 Dy 3.50, 4 Sm 3.67
Sm1 0.7567 0.2433 0.2433  2 Dy 3.31, 2 Sm 3.49, 2 Ac 3.67
Sm2 0.2433 0.7567 0.7567  2 Dy 3.31, 2 Sm 3.49, 2 Ac 3.67
Sm3 0.0000 0.5000 0.5000  6 Sm 3.49-3.82, 8 Dy 3.84
Dy1 0.6361 0.1178 0.6100  1 Sm 3.31, 5 Dy 3.49-3.61, 1 Ac 3.50
Dy2 0.3639 0.8822 0.3900  1 Sm 3.31, 5 Dy 3.49-3.61, 1 Ac 3.50
Dy3 0.3639 0.3900 0.8822  1 Sm 3.31, 5 Dy 3.49-3.61, 1 Ac 3.50
Dy4 0.6361 0.6100 0.1178  1 Sm 3.31, 5 Dy 3.49-3.61, 1 Ac 3.50

The symmetry is Immm. Its formation energy is 0.1582 eV per atom. For the final energy, the calculation gives -4.426 eV/atom.

***

# AlTl2SbO6

A geometry-optimized AlTl2SbO6 structure (PBE, the Alexandria database).

a = 4.9846 Å, b = 5.2331 Å, c = 5.2331 Å
α = 90.00°, β = 90.00°, γ = 90.00°
Last column: nearest neighbours and their distance in Å.
Positions (direct):
Al1 0.5770 0.0000 0.0000  5 O 1.81-1.91
Tl1 0.0498 0.5000 0.0000  8 O 2.56-2.74
Tl2 0.0498 0.0000 0.5000  8 O 2.56-2.74
Sb1 0.5819 0.5000 0.5000  5 O 1.94-1.97
O1 0.6955 0.2448 0.2448  1 Al 1.91, 1 Sb 1.97
O2 0.6955 0.2448 0.7552  1 Al 1.91, 1 Sb 1.97
O3 0.1929 0.5000 0.5000  1 Sb 1.94
O4 0.2133 0.0000 0.0000  1 Al 1.81
O5 0.6955 0.7552 0.7552  1 Al 1.91, 1 Sb 1.97
O6 0.6955 0.7552 0.2448  1 Al 1.91, 1 Sb 1.97

The symmetry is P4mm. For the final energy, the calculation gives -5.532 eV/atom. The energy relative to the elements, uncorrected is -1297.6 meV per atom.

***

# Pm6DyHoEr2

A geometry-optimized Pm6DyHoEr2 structure (PBE, the Alexandria database).

a = 9.0765 Å, b = 9.0278 Å, c = 9.0278 Å
α = 116.82°, β = 91.49°, γ = 91.49°
Last column: nearest neighbours and their distance in Å.
Positions (direct):
Pm1 0.0562 0.1193 0.7771  1 Er 3.44, 7 Pm 3.48-3.69, 2 Dy 3.53-3.64
Pm2 0.4438 0.2229 0.8807  1 Er 3.44, 7 Pm 3.48-3.69, 2 Dy 3.53-3.64
Pm3 0.9438 0.8807 0.2229  1 Er 3.44, 7 Pm 3.48-3.69, 2 Dy 3.53-3.64
Pm4 0.5562 0.7771 0.1193  1 Er 3.44, 7 Pm 3.48-3.69, 2 Dy 3.53-3.64
Pm5 0.3067 0.0053 0.4458  4 Pm 3.27-3.63, 1 Er 3.43, 1 Ho 3.43, 1 Dy 3.58
Pm6 0.1933 0.5542 0.9947  4 Pm 3.27-3.63, 1 Er 3.43, 1 Ho 3.43, 1 Dy 3.58
Pm7 0.6933 0.9947 0.5542  4 Pm 3.27-3.63, 1 Er 3.43, 1 Ho 3.43, 1 Dy 3.58
Pm8 0.8067 0.4458 0.0053  4 Pm 3.27-3.63, 1 Er 3.43, 1 Ho 3.43, 1 Dy 3.58
Pm9 0.1065 0.7150 0.4761  4 Pm 3.24-3.56, 3 Er 3.35-3.49, 2 Ho 3.37-3.47
Pm10 0.3935 0.5239 0.2850  4 Pm 3.24-3.56, 3 Er 3.35-3.49, 2 Ho 3.37-3.47
Pm11 0.8935 0.2850 0.5239  4 Pm 3.24-3.56, 3 Er 3.35-3.49, 2 Ho 3.37-3.47
Pm12 0.6065 0.4761 0.7150  4 Pm 3.24-3.56, 3 Er 3.35-3.49, 2 Ho 3.37-3.47
Dy1 0.2500 0.9652 0.0348  4 Er 3.35-3.58, 6 Pm 3.53-3.64
Dy2 0.7500 0.0348 0.9652  4 Er 3.35-3.58, 6 Pm 3.53-3.64
Ho1 0.2500 0.4197 0.5803  6 Pm 3.37-3.47, 4 Er 3.50-3.71
Ho2 0.7500 0.5803 0.4197  6 Pm 3.37-3.47, 4 Er 3.50-3.71
Er1 0.4471 0.7963 0.6930  6 Pm 3.35-3.73, 2 Dy 3.35-3.58, 2 Ho 3.50-3.71
Er2 0.0529 0.3070 0.2037  6 Pm 3.35-3.73, 2 Dy 3.35-3.58, 2 Ho 3.50-3.71
Er3 0.5529 0.2037 0.3070  6 Pm 3.35-3.73, 2 Dy 3.35-3.58, 2 Ho 3.50-3.71
Er4 0.9471 0.6930 0.7963  6 Pm 3.35-3.73, 2 Dy 3.35-3.58, 2 Ho 3.50-3.71

The symmetry is C2/c. Its formation energy is 0.1269 eV per atom. For the final energy, the calculation gives -4.554 eV/atom.

***

# HoCo4Ni

A geometry-optimized HoCo4Ni structure (PBE, the Alexandria database).

a = 4.8991 Å, b = 4.8991 Å, c = 3.9495 Å
α = 90.00°, β = 90.00°, γ = 120.00°
Last column: nearest neighbours and their distance in Å.
Positions (direct):
Ho1 0.3333 0.6667 0.0000  3 Ni 2.83, 15 Co 2.83-3.15
Co1 0.0000 0.0000 0.0000  6 Co 2.43
Co2 0.3345 0.1672 0.5000  2 Ni 2.43, 6 Co 2.43-2.46
Co3 0.8328 0.1672 0.5000  2 Ni 2.43, 6 Co 2.43-2.46
Co4 0.8328 0.6655 0.5000  2 Ni 2.43, 6 Co 2.43-2.46
Ni1 0.6667 0.3333 0.0000  6 Co 2.43

The symmetry is P-6m2. Its formation energy is -0.1525 eV per atom. For the final energy, the calculation gives -6.616 eV/atom.

***

# AlHPd3

A geometry-optimized AlHPd3 structure (PBE, the Alexandria database).

a = 4.3627 Å, b = 4.3627 Å, c = 7.7275 Å
α = 90.00°, β = 90.00°, γ = 120.00°
Last column: nearest neighbours and their distance in Å.
Positions (direct):
H1 0.0000 0.0000 0.0000  2 Pd 1.93
H2 0.0000 0.0000 0.5000  2 Pd 1.93
Al1 0.3333 0.6667 0.7500  5 Pd 2.49-2.52
Al2 0.6667 0.3333 0.2500  5 Pd 2.49-2.52
Pd1 0.0000 0.0000 0.2500  2 H 1.93
Pd2 0.0000 0.0000 0.7500  2 H 1.93
Pd3 0.3333 0.6667 0.0723  1 Al 2.49, 3 H 2.58, 4 Pd 2.75-2.76
Pd4 0.3333 0.6667 0.4277  1 Al 2.49, 3 H 2.58, 4 Pd 2.75-2.76
Pd5 0.6667 0.3333 0.5723  1 Al 2.49, 3 H 2.58, 4 Pd 2.75-2.76
Pd6 0.6667 0.3333 0.9277  1 Al 2.49, 3 H 2.58, 4 Pd 2.75-2.76

The symmetry is P6_3/mmc. The energy above the most stable polymorph in this dataset comes out at 178.8 meV per atom. For the final energy, the calculation gives -4.910 eV/atom.

***

# NdInGa2Br6

A geometry-optimized NdInGa2Br6 structure (PBE, the Alexandria database).

a = 7.8826 Å, b = 7.8822 Å, c = 8.3942 Å
α = 61.99°, β = 61.99°, γ = 59.99°
Last column: nearest neighbours and their distance in Å.
Positions (direct):
Nd1 0.3229 0.3230 0.0311  6 Br 2.89-2.95
In1 0.8133 0.8133 0.5601  6 Br 3.27-3.41
Ga1 0.5156 0.5157 0.4528  6 Br 3.12-3.23
Ga2 0.0096 0.0095 0.9712  6 Br 3.11-3.18
Br1 0.5814 0.2267 0.2397  1 Nd 2.89, 2 Ga 3.18-3.23
Br2 0.2267 0.9523 0.2397  1 Nd 2.89, 2 Ga 3.18-3.23
Br3 0.9523 0.5814 0.2397  1 Nd 2.89, 2 Ga 3.18-3.23
Br4 0.3933 0.7078 0.7603  1 Nd 2.95, 2 Ga 3.11-3.12, 1 In 3.27
Br5 0.7079 0.1386 0.7604  1 Nd 2.95, 2 Ga 3.11-3.12, 1 In 3.27
Br6 0.1387 0.3933 0.7603  1 Nd 2.95, 2 Ga 3.11-3.12, 1 In 3.27

The symmetry is R3. For the final energy, the calculation gives -3.455 eV/atom. The energy relative to the elements, uncorrected is -1095.5 meV per atom.

***

# TbErSiPd

A geometry-optimized TbErSiPd structure (PBE, the Alexandria database).

a = 4.9665 Å, b = 4.9665 Å, c = 4.9665 Å
α = 60.00°, β = 60.00°, γ = 60.00°
Last column: nearest neighbours and their distance in Å.
Positions (direct):
Si1 0.7500 0.7500 0.7500  4 Er 3.04, 4 Tb 3.04
Tb1 0.0000 0.0000 0.0000  4 Si 3.04, 4 Pd 3.04
Pd1 0.2500 0.2500 0.2500  4 Tb 3.04, 4 Er 3.04
Er1 0.5000 0.5000 0.5000  4 Pd 3.04, 4 Si 3.04

The symmetry is F-43m. The energy above the most stable polymorph in this dataset comes out at 111.5 meV per atom. For the final energy, the calculation gives -5.682 eV/atom. The energy relative to the elements, uncorrected is -730.2 meV per atom.

***

# CaCd2W

A geometry-optimized CaCd2W structure (PBE, the Alexandria database).

a = 4.3544 Å, b = 2.9930 Å, c = 7.2101 Å
α = 65.34°, β = 90.00°, γ = 90.00°
Last column: nearest neighbours and their distance in Å.
Positions (direct):
Ca1 0.5000 0.7500 0.7500  2 Ca 2.99, 8 Cd 3.22, 2 W 3.28
W1 0.5000 0.2500 0.2500  2 W 2.99, 8 Cd 3.00-3.01, 2 Ca 3.28
Cd1 0.0000 0.9686 0.0316  3 Cd 2.86-2.99, 4 W 3.00-3.01
Cd2 0.0000 0.5314 0.4684  3 Cd 2.86-2.99, 4 W 3.00-3.01

The symmetry is P2/m. Its formation energy is 0.4594 eV per atom. The energy above the most stable polymorph in this dataset comes out at 47.7 meV per atom. For the final energy, the calculation gives -3.737 eV/atom.

***

# YTm3Pu2Te6

A geometry-optimized YTm3Pu2Te6 structure (PBE, the Alexandria database).

a = 4.3315 Å, b = 8.7537 Å, c = 9.7560 Å
α = 103.50°, β = 102.83°, γ = 90.00°
Last column: nearest neighbours and their distance in Å.
Positions (direct):
Y1 0.5000 0.0000 0.0000  6 Te 3.09-3.10
Tm1 0.5000 0.5000 0.0000  6 Te 3.04-3.06
Tm2 0.8322 0.1660 0.6644  6 Te 3.04-3.05
Tm3 0.1678 0.8340 0.3356  6 Te 3.04-3.05
Pu1 0.8341 0.6673 0.6683  6 Te 3.12-3.13
Pu2 0.1659 0.3327 0.3317  6 Te 3.12-3.13
Te1 0.3328 0.9231 0.6656  3 Tm 3.04-3.05, 1 Y 3.09, 2 Pu 3.12
Te2 0.6647 0.5885 0.3295  3 Tm 3.04, 3 Pu 3.12-3.13
Te3 0.6672 0.0769 0.3344  3 Tm 3.04-3.05, 1 Y 3.09, 2 Pu 3.12
Te4 0.9969 0.2522 0.9938  3 Tm 3.04-3.06, 2 Y 3.10, 1 Pu 3.12
Te5 0.0031 0.7478 0.0062  3 Tm 3.04-3.06, 2 Y 3.10, 1 Pu 3.12
Te6 0.3353 0.4115 0.6705  3 Tm 3.04, 3 Pu 3.12-3.13

The symmetry is C2/m. For the final energy, the calculation gives -6.812 eV/atom. The energy relative to the elements, uncorrected is -1195.5 meV per atom.

***

# LuCdIn

A geometry-optimized LuCdIn structure (PBE, the Alexandria database).

a = 3.4718 Å, b = 4.9060 Å, c = 4.9060 Å
α = 120.00°, β = 90.00°, γ = 90.00°
Last column: nearest neighbours and their distance in Å.
Positions (direct):
Lu1 0.6664 0.6667 0.3333  6 Cd 3.32-3.33, 6 In 3.32, 2 Lu 3.47
In1 0.1655 0.3333 0.6667  3 Cd 2.83
Cd1 0.1681 0.0000 0.0000  3 In 2.83

The symmetry is P3m1. Its formation energy is -0.3159 eV per atom. For the final energy, the calculation gives -3.041 eV/atom.